FeNiBIr | GGA-PBE | optimized geometry

Theoretical density (g/cm3): 12.291
Excess energy over the best structure of this formula in the dataset (meV per atom): 0.0
Total energy (eV/atom): -7.17

a = 5.5572 Å, b = 5.5572 Å, c = 5.5572 Å
α = 90.00°, β = 90.00°, γ = 90.00°
Space group F-43m (No. 216)
Inequivalent atoms, fractional coordinates:
Fe 0.0000 0.0000 0.0000 [4 per cell]
Ni 0.2500 0.2500 0.2500 [4 per cell]
B 0.2500 0.2500 0.7500 [4 per cell]
Ir 0.0000 0.0000 0.5000 [4 per cell]